First-principles (PBE) data for DyAl3GaNi after structural relaxation, as listed in OQMD via LeMat-Bulk.

Output
The value obtained for the distance to the lowest polymorph of the same formula is 0 meV/atom. The value obtained for the total DFT energy (no corrections) is -27.9 eV/f.u. Its spin magnetization is 0.00 μB per formula unit.

Cell lengths 7.9313, 7.9313, 6.6441 Å; angles 90.00, 90.00, 150.45 degrees
Atoms (fractional coordinates):
Dy  0.1162  0.8838  0.7500
Dy  0.8838  0.1162  0.2500
Al  0.0763  0.9237  0.2500
Al  0.3107  0.6893  0.5532
Al  0.3107  0.6893  0.9468
Al  0.6893  0.3107  0.0532
Al  0.6893  0.3107  0.4468
Al  0.9237  0.0763  0.7500
Ga  0.5000  0.5000  0.0000
Ga  0.5000  0.5000  0.5000
Ni  0.2267  0.7733  0.2500
Ni  0.7733  0.2267  0.7500

=====

First-principles (PBE) data for CsHgCl3 after structural relaxation, as listed in OQMD via LeMat-Bulk.

Output
The value obtained for the distance to the lowest polymorph of the same formula is 28 meV/atom. The value obtained for the total DFT energy (no corrections) is -12.5 eV/f.u.

Cell lengths 5.3849, 5.3849, 5.3849 Å; angles 90.00, 90.00, 90.00 degrees
Atoms (fractional coordinates):
Cs  0.0000  0.0000  0.0000
Hg  0.5000  0.5000  0.5000
Cl  0.0000  0.5000  0.5000
Cl  0.5000  0.0000  0.5000
Cl  0.5000  0.5000  0.0000

=====

Repeat the first record exactly.
First-principles (PBE) data for DyAl3GaNi after structural relaxation, as listed in OQMD via LeMat-Bulk.

Output
The value obtained for the distance to the lowest polymorph of the same formula is 0 meV/atom. The value obtained for the total DFT energy (no corrections) is -27.9 eV/f.u. Its spin magnetization is 0.00 μB per formula unit.

Cell lengths 7.9313, 7.9313, 6.6441 Å; angles 90.00, 90.00, 150.45 degrees
Atoms (fractional coordinates):
Dy  0.1162  0.8838  0.7500
Dy  0.8838  0.1162  0.2500
Al  0.0763  0.9237  0.2500
Al  0.3107  0.6893  0.5532
Al  0.3107  0.6893  0.9468
Al  0.6893  0.3107  0.0532
Al  0.6893  0.3107  0.4468
Al  0.9237  0.0763  0.7500
Ga  0.5000  0.5000  0.0000
Ga  0.5000  0.5000  0.5000
Ni  0.2267  0.7733  0.2500
Ni  0.7733  0.2267  0.7500

=====

- Which of these has the highest distance to the lowest polymorph of the same formula?
  CsHgCl3

=====

- Among the records above, which one has the lowest total DFT energy (no corrections)?
  DyAl3GaNi